A plane-wave DFT calculation with meta-GGA SCAN was carried out for CaReSb at its PBEsol-relaxed geometry.

Unit cell a=3.329 b=3.329 c=6.848 alpha=90.00 beta=90.00 gamma=120.00
Fractional coordinates of all 3 atoms:
Ca: 0.000 0.000 0.000
Re: 0.667 0.333 0.661
Sb: 0.333 0.667 0.392

Fermi-level density of states in states/eV per cell: 4.039
Energy relative to the elements, uncorrected in eV per formula unit: 1.39
SG: P3m1
Crystal system: trigonal
E_tot in eV/cell: -116.63
Density in g cm⁻³: 8.79